(1)
The following is a PBE calculation of an optimized crystal structure of Pm12Tm7Sc, from Alexandria.

Properties
- Distance to the lowest polymorph of the same formula: 51 meV per atom
- E_form: 0.2096 eV per atom

Cell: 11.4416 11.4416 11.4416 Å, 116.88 116.88 116.88°
Last column: nearest neighbours and their distance in Å.
Element x y z (fractional)
1 Pm 0.0004 0.4134 0.5865  5 Pm 3.38-3.73, 2 Tm 3.39
2 Pm 0.9996 0.5866 0.4135  5 Pm 3.38-3.73, 2 Tm 3.39
3 Pm 0.0803 0.0811 0.4322  4 Tm 3.31-3.56, 1 Pm 3.37
4 Pm 0.0811 0.4322 0.0803  4 Tm 3.31-3.56, 1 Pm 3.37
5 Pm 0.4135 0.9996 0.5866  5 Pm 3.38-3.73, 2 Tm 3.39
6 Pm 0.4134 0.5865 0.0004  5 Pm 3.38-3.73, 2 Tm 3.39
7 Pm 0.4322 0.0803 0.0811  4 Tm 3.31-3.56, 1 Pm 3.37
8 Pm 0.5678 0.9197 0.9189  4 Tm 3.31-3.56, 1 Pm 3.37
9 Pm 0.5865 0.0004 0.4134  5 Pm 3.38-3.73, 2 Tm 3.39
10 Pm 0.5866 0.4135 0.9996  5 Pm 3.38-3.73, 2 Tm 3.39
11 Pm 0.9189 0.5678 0.9197  4 Tm 3.31-3.56, 1 Pm 3.37
12 Pm 0.9197 0.9189 0.5678  4 Tm 3.31-3.56, 1 Pm 3.37
13 Tm 0.0000 0.0000 0.0000  2 Sc 3.07, 6 Tm 3.27
14 Tm 0.1411 0.3811 0.3802  1 Sc 2.96, 1 Tm 3.27, 1 Pm 3.31
15 Tm 0.3802 0.1411 0.3811  1 Sc 2.96, 1 Tm 3.27, 1 Pm 3.31
16 Tm 0.3811 0.3802 0.1411  1 Sc 2.96, 1 Tm 3.27, 1 Pm 3.31
17 Tm 0.6189 0.6198 0.8589  1 Sc 2.96, 1 Tm 3.27, 1 Pm 3.31
18 Tm 0.6198 0.8589 0.6189  1 Sc 2.96, 1 Tm 3.27, 1 Pm 3.31
19 Tm 0.8589 0.6189 0.6198  1 Sc 2.96, 1 Tm 3.27, 1 Pm 3.31
20 Sc 0.5000 0.5000 0.5000  8 Tm 2.96-3.07

---

(2)
The following is a PBE calculation of an optimized crystal structure of V2CoSe, from Alexandria.

Properties
- Formation energy without anion corrections: 0.159 eV/atom

Cell: 5.3259 5.3259 5.3259 Å, 103.66 103.66 121.85°
Last column: nearest neighbours and their distance in Å.
Element x y z (fractional)
1 V 0.1088 0.6250 0.9838  2 Co 2.34, 2 Se 2.49, 2 V 2.60
2 V 0.3750 0.3588 0.4838  2 Co 2.34, 2 Se 2.49, 2 V 2.60
3 V 0.6412 0.1250 0.0162  2 Co 2.34, 2 Se 2.49, 2 V 2.60
4 V 0.8750 0.8912 0.5162  2 Co 2.34, 2 Se 2.49, 2 V 2.60
5 Co 0.0000 0.0000 0.0000  4 V 2.34, 2 Se 2.59
6 Co 0.7500 0.2500 0.5000  4 V 2.34, 2 Se 2.59
7 Se 0.2500 0.7500 0.5000  4 V 2.49, 2 Co 2.59
8 Se 0.5000 0.5000 0.0000  4 V 2.49, 2 Co 2.59

---

(3)
The following is a PBE calculation of an optimized crystal structure of Ac2ErGa12Co3, from Alexandria.

Properties
- E_form: -0.0671 eV per atom

Cell: 8.1646 8.1646 8.1646 Å, 64.16 64.16 64.16°
Last column: nearest neighbours and their distance in Å.
Element x y z (fractional)
1 Ac 0.0912 0.0912 0.0912  3 Ga 3.16, 1 Ac 3.53
2 Ac 0.9088 0.9088 0.9088  3 Ga 3.16, 1 Ac 3.53
3 Er 0.5000 0.5000 0.5000  6 Ga 3.08
4 Ga 0.0612 0.6475 0.6475  1 Co 2.34
5 Ga 0.2221 0.2221 0.5779  2 Co 2.24
6 Ga 0.2221 0.5779 0.2221  2 Co 2.24
7 Ga 0.3525 0.3525 0.9388  1 Co 2.34
8 Ga 0.3525 0.9388 0.3525  1 Co 2.34
9 Ga 0.4221 0.7779 0.7779  2 Co 2.24
10 Ga 0.5779 0.2221 0.2221  2 Co 2.24
11 Ga 0.6475 0.0612 0.6475  1 Co 2.34
12 Ga 0.6475 0.6475 0.0612  1 Co 2.34
13 Ga 0.7779 0.4221 0.7779  2 Co 2.24
14 Ga 0.7779 0.7779 0.4221  2 Co 2.24
15 Ga 0.9388 0.3525 0.3525  1 Co 2.34
16 Co 0.0000 0.5000 0.5000  6 Ga 2.24-2.34
17 Co 0.5000 0.0000 0.5000  6 Ga 2.24-2.34
18 Co 0.5000 0.5000 0.0000  6 Ga 2.24-2.34

---

(4)
The following is a PBE calculation of an optimized crystal structure of Ta3Fe, from Alexandria.

Properties
- E_form: 0.0026 eV per atom

Cell: 5.6729 8.6188 5.4654 Å, 90.00 90.00 90.00°
Last column: nearest neighbours and their distance in Å.
Element x y z (fractional)
1 Ta 0.0415 0.2500 0.1656  2 Fe 2.56-2.64
2 Ta 0.2084 0.0504 0.6255  2 Fe 2.44-2.47
3 Ta 0.2084 0.4496 0.6255  2 Fe 2.44-2.47
4 Ta 0.2916 0.5504 0.1255  2 Fe 2.44-2.47
5 Ta 0.2916 0.9496 0.1255  2 Fe 2.44-2.47
6 Ta 0.4585 0.7500 0.6656  2 Fe 2.56-2.64
7 Ta 0.5415 0.2500 0.3344  2 Fe 2.56-2.64
8 Ta 0.7084 0.0504 0.8745  2 Fe 2.44-2.47
9 Ta 0.7084 0.4496 0.8745  2 Fe 2.44-2.47
10 Ta 0.7916 0.5504 0.3745  2 Fe 2.44-2.47
11 Ta 0.7916 0.9496 0.3745  2 Fe 2.44-2.47
12 Ta 0.9585 0.7500 0.8344  2 Fe 2.56-2.64
13 Fe 0.1045 0.7500 0.3766  6 Ta 2.44-2.64
14 Fe 0.3955 0.2500 0.8766  6 Ta 2.44-2.64
15 Fe 0.6045 0.7500 0.1234  6 Ta 2.44-2.64
16 Fe 0.8955 0.2500 0.6234  6 Ta 2.44-2.64

---

(5)
The following is a PBE calculation of an optimized crystal structure of Tb8Ho3Er3, from Alexandria.

Properties
- E_form: 0.1142 eV per atom

Cell: 9.5615 9.5615 9.5615 Å, 146.09 111.87 78.32°
Last column: nearest neighbours and their distance in Å.
Element x y z (fractional)
1 Tb 0.0562 0.3964 0.6598  5 Tb 3.07-3.42
2 Tb 0.0642 0.2226 0.8416  6 Tb 3.23-3.51, 2 Ho 3.56
3 Tb 0.2633 0.6036 0.6598  5 Tb 3.07-3.42
4 Tb 0.3810 0.2226 0.1584  6 Tb 3.23-3.51, 2 Ho 3.56
5 Tb 0.6190 0.7774 0.8416  6 Tb 3.23-3.51, 2 Ho 3.56
6 Tb 0.7367 0.3964 0.3402  5 Tb 3.07-3.42
7 Tb 0.9358 0.7774 0.1584  6 Tb 3.23-3.51, 2 Ho 3.56
8 Tb 0.9438 0.6036 0.3402  5 Tb 3.07-3.42
9 Ho 0.3192 0.8192 0.5000  2 Er 3.44, 8 Tb 3.56-3.71
10 Ho 0.5000 0.5000 0.0000  4 Er 3.52, 4 Ho 3.87
11 Ho 0.6808 0.1808 0.5000  2 Er 3.44, 8 Tb 3.56-3.71
12 Er 0.0000 0.0000 0.0000  2 Er 3.20
13 Er 0.2989 0.0000 0.2989  1 Er 3.20, 4 Ho 3.44-3.52, 4 Tb 3.51
14 Er 0.7011 0.0000 0.7011  1 Er 3.20, 4 Ho 3.44-3.52, 4 Tb 3.51

---

(6)
The following is a PBE calculation of an optimized crystal structure of CuOsPd3, from Alexandria.

Properties
- Distance to the lowest polymorph of the same formula: 0 meV per atom
- E_form: 1.4118 eV per atom

Cell: 4.5047 4.5047 4.5047 Å, 90.00 90.00 90.00°
Last column: nearest neighbours and their distance in Å.
Element x y z (fractional)
1 Cu 0.0000 0.0000 0.0000  6 Pd 2.25
2 Os 0.5000 0.5000 0.5000  12 Pd 3.19
3 Pd 0.0000 0.0000 0.5000  2 Cu 2.25
4 Pd 0.0000 0.5000 0.0000  2 Cu 2.25
5 Pd 0.5000 0.0000 0.0000  2 Cu 2.25

---

Values for total energy, eV/atom, ordered as above
-4.522, -7.048, -3.979, -11.003, -4.490, -4.769